No. 1
Cs3Tl3In2 | PBE-GGA | optimized geometry

```
Cs3Tl3In2
1.0
-1.6402 -4.8225 0.6433
7.7099 0.4342 2.4250
-5.5834 4.1673 17.0050
Tl In Cs
6 4 6
direct
0.0529 0.1059 0.2500
0.0540 0.1079 0.9143
0.9460 0.8921 0.4143
0.9471 0.8941 0.7500
0.9460 0.8921 0.0857
0.0540 0.1079 0.5857
0.5740 0.1480 0.8284
0.4260 0.8520 0.1716
0.5740 0.1480 0.6716
0.4260 0.8520 0.3284
0.2495 0.4990 0.7500
0.6447 0.2893 0.4481
0.3553 0.7107 0.9481
0.7505 0.5010 0.2500
0.6447 0.2893 0.0519
0.3553 0.7107 0.5519
```

calculated density: 5.7 g/cm³
formation energy: -96 meV/atom
total energy: -1.988 eV per atom
SG: Cmcm
spin magnetization: 0.000 μB per atom
distance to the lowest polymorph of the same formula: 0.00 eV per formula unit


No. 2
Cs2Tl3In5 | PBE-GGA | optimized geometry

```
Cs2Tl3In5
1.0
-0.8963 0.1795 5.1273
5.0135 -1.0743 0.9140
2.7286 12.7588 0.0302
In Tl Cs
5 3 2
direct
0.0000 0.5000 0.1256
0.5000 0.5000 0.5000
0.5000 0.5000 0.0000
0.5000 0.0000 0.8744
0.0000 0.0000 0.0000
0.5000 0.0000 0.6389
0.0000 0.5000 0.3611
0.0000 0.0000 0.5000
0.0000 0.5000 0.7535
0.5000 0.0000 0.2465
```

calculated density: 6.8 g/cm³
formation energy: -91 meV/atom
total energy: -2.341 eV per atom
SG: P-4m2
spin magnetization: 0.000 μB per atom


No. 3
CsTlIn | PBE-GGA | optimized geometry

```
CsTlIn
1.0
-1.4013 1.7246 3.4063
3.2636 -1.3420 2.0221
2.5995 5.9209 -4.3562
In Tl Cs
1 1 1
direct
0.6981 0.6981 0.3961
0.3014 0.3014 0.6028
0.0005 0.0005 0.0011
```

calculated density: 6.3 g/cm³
formation energy: -30 meV/atom
total energy: -2.016 eV per atom
SG: I4mm
spin magnetization: 0.000 μB per atom
distance to the lowest polymorph of the same formula: 0.25 eV per formula unit


No. 4
CsTlIn | PBE-GGA | optimized geometry

```
CsTlIn
1.0
5.0838 -0.0010 -0.0015
-0.0003 5.4310 -0.1350
-0.0012 -0.1737 9.2438
Tl Cs In
2 2 2
direct
0.1593 0.3603 0.4598
0.6594 0.7436 0.8291
0.1594 0.2974 0.9846
0.6590 0.8065 0.3042
0.1589 0.8614 0.6416
0.6591 0.2426 0.6472
```

calculated density: 5.9 g/cm³
formation energy: -114 meV/atom
total energy: -2.100 eV per atom
SG: P2_1/m
spin magnetization: 0.000 μB per atom
distance to the lowest polymorph of the same formula: 0.00 eV per formula unit